(1)
## Zr2ScFe (PBE)

Data for Zr2ScFe after structural relaxation.

energy above the most stable polymorph in this dataset: 0 meV per atom
energy of formation from the pure elements: -38 kJ/mol of formula units

a b c (Å): 6.3539 8.8740 5.7354
angles (deg): 90.00 90.00 90.00
Positions (direct):
Zr1 0.1737 0.0611 0.1742
Zr2 0.1737 0.4389 0.1742
Zr3 0.3263 0.5611 0.6742
Zr4 0.3263 0.9389 0.6742
Zr5 0.6737 0.0611 0.3258
Zr6 0.6737 0.4389 0.3258
Zr7 0.8263 0.5611 0.8258
Zr8 0.8263 0.9389 0.8258
Sc1 0.0358 0.2500 0.6362
Sc2 0.4642 0.7500 0.1362
Sc3 0.5358 0.2500 0.8638
Sc4 0.9642 0.7500 0.3638
Fe1 0.1116 0.7500 0.9224
Fe2 0.3884 0.2500 0.4224
Fe3 0.6116 0.7500 0.5776
Fe4 0.8884 0.2500 0.0776

(2)
## VCuRh2S (PBE)

Data for VCuRh2S after structural relaxation.

formation energy without anion corrections: 110 kJ/mol of formula units

a b c (Å): 4.3540 4.3540 4.2230
angles (deg): 90.00 90.00 90.00
Positions (direct):
V1 0.0000 0.0000 0.0000
Cu1 0.5000 0.5000 0.0000
Rh1 0.0000 0.5000 0.5000
Rh2 0.5000 0.0000 0.5000
S1 0.0000 0.0000 0.5000

What did the first record say?
## Zr2ScFe (PBE)

Data for Zr2ScFe after structural relaxation.

energy above the most stable polymorph in this dataset: 0 meV per atom
energy of formation from the pure elements: -38 kJ/mol of formula units

a b c (Å): 6.3539 8.8740 5.7354
angles (deg): 90.00 90.00 90.00
Positions (direct):
Zr1 0.1737 0.0611 0.1742
Zr2 0.1737 0.4389 0.1742
Zr3 0.3263 0.5611 0.6742
Zr4 0.3263 0.9389 0.6742
Zr5 0.6737 0.0611 0.3258
Zr6 0.6737 0.4389 0.3258
Zr7 0.8263 0.5611 0.8258
Zr8 0.8263 0.9389 0.8258
Sc1 0.0358 0.2500 0.6362
Sc2 0.4642 0.7500 0.1362
Sc3 0.5358 0.2500 0.8638
Sc4 0.9642 0.7500 0.3638
Fe1 0.1116 0.7500 0.9224
Fe2 0.3884 0.2500 0.4224
Fe3 0.6116 0.7500 0.5776
Fe4 0.8884 0.2500 0.0776